1.
AgPOs2 (PBE, optimized geometry); total DFT energy (no corrections) = -7.16 eV per atom; M_tot = 0.00 μB per cell; DFT formation energy = 0.52 eV/atom; space-group type = No. 25
1.0
2.820 0.000 0.000
0.000 3.805 0.000
0.000 0.000 5.836
Os P Ag
2 1 1
Cartesian
1.410 1.902 1.433 Os
0.000 0.000 0.278 Os
0.000 0.000 2.616 P
1.410 1.902 4.427 Ag

2.
CdIn (PBE, optimized geometry); total DFT energy (no corrections) = -1.79 eV per atom; M_tot = 0.00 μB per cell; DFT formation energy = 0.03 eV/atom; space-group type = No. 74
1.0
6.444 0.025 0.178
3.124 5.636 -0.178
-4.016 -4.129 2.895
In Cd
2 2
Cartesian
1.033 1.120 0.679 In
4.520 0.412 2.216 In
-0.146 -2.348 2.216 Cd
5.699 3.880 0.679 Cd

3.
LiHoPd3 (PBE, optimized geometry); total DFT energy (no corrections) = -5.09 eV per atom; M_tot = 0.00 μB per cell; DFT formation energy = -0.68 eV/atom; space-group type = No. 14
1.0
-2.847 2.806 4.066
-5.230 -4.628 -0.468
6.934 -2.027 6.254
Pd Li Ho
12 4 4
Cartesian
-2.754 -2.924 4.981 Pd
4.154 -0.462 6.301 Pd
-1.069 -0.688 0.620 Pd
-0.074 -3.162 9.231 Pd
0.860 -3.744 4.297 Pd
-3.239 -2.107 2.073 Pd
2.096 -1.742 7.778 Pd
-2.595 -3.646 7.771 Pd
-5.297 -3.387 3.551 Pd
1.611 -0.926 4.870 Pd
1.452 -0.203 2.081 Pd
-2.003 -0.106 5.554 Pd
-2.533 1.067 2.641 Li
-1.475 -4.496 3.223 Li
0.332 0.646 6.628 Li
1.390 -4.916 7.210 Li
-0.344 -2.410 6.536 Ho
-0.799 -1.439 3.315 Ho
-4.439 -0.777 4.307 Ho
3.296 -3.072 5.545 Ho

4.
NaZnPd3 (PBE, optimized geometry); total DFT energy (no corrections) = -3.46 eV per atom; M_tot = 0.00 μB per cell; DFT formation energy = 0.17 eV/atom; space-group type = No. 221; ΔE to the lowest computed polymorph = 0.329 eV per atom
1.0
4.721 0.000 0.000
0.000 4.721 0.000
0.000 0.000 4.721
Zn Pd Na
1 3 1
Cartesian
0.000 0.000 0.000 Zn
2.361 0.000 0.000 Pd
0.000 0.000 2.361 Pd
0.000 2.361 0.000 Pd
2.361 2.361 2.361 Na

5.
CrSb2P (PBE, optimized geometry); total DFT energy (no corrections) = -5.61 eV per atom; M_tot = 1.97 μB per cell; formation energy (no corrections) = 0.207 eV per atom; space-group type = No. 6
1.0
-1.647 3.890 -1.010
-3.848 -1.710 -0.314
-2.333 0.122 4.274
Cr P Sb
1 1 2
Cartesian
-3.558 -0.967 2.076 Cr
-4.936 0.950 2.367 P
-5.843 -1.514 3.695 Sb
-2.761 1.451 0.751 Sb

6.
La4NiBr (PBE, optimized geometry); total DFT energy (no corrections) = -4.13 eV per atom; M_tot = 0.00 μB per cell; formation energy (no corrections) = 0.400 eV per atom; space-group type = No. 216
1.0
0.000 4.505 4.505
4.505 0.000 4.505
4.505 4.505 0.000
Br La Ni
1 4 1
Cartesian
0.000 0.000 0.000 Br
5.628 5.628 3.382 La
3.382 5.628 5.628 La
3.382 3.382 3.382 La
5.628 3.382 5.628 La
6.758 6.758 6.758 Ni

7.
CaNdS2 (PBE, optimized geometry); total DFT energy (no corrections) = -5.81 eV per atom; M_tot = 0.00 μB per cell; formation energy (no corrections) = -2.058 eV per atom; space-group type = No. 12; ΔE to the lowest computed polymorph = 0.000 eV per atom
1.0
4.018 0.013 0.011
1.999 3.486 0.011
1.979 1.151 6.728
Ca S Nd
1 2 1
Cartesian
3.998 2.325 3.376 Ca
5.997 3.487 5.019 S
1.998 1.162 1.732 S
0.000 0.000 0.000 Nd

8.
CeNdSn2 (PBE, optimized geometry); total DFT energy (no corrections) = -5.30 eV per atom; M_tot = 1.21 μB per cell; DFT formation energy = -0.63 eV/atom; space-group type = No. 123
1.0
4.501 0.000 0.000
0.000 5.010 0.000
0.000 0.000 5.010
Sn Nd Ce
2 1 1
Cartesian
0.000 0.000 2.505 Sn
0.000 2.505 0.000 Sn
2.250 2.505 2.505 Nd
2.250 0.000 0.000 Ce

9.
Na2NpPO8 (PBE, optimized geometry); total DFT energy (no corrections) = -6.38 eV per atom; M_tot = 2.00 μB per cell; formation energy (no corrections) = -1.330 eV per atom; space-group type = No. 164
1.0
-2.120 -5.106 -0.696
3.028 1.166 4.530
-4.555 1.529 2.651
O Na Np P
8 2 1 1
Cartesian
-3.333 -2.311 4.797 O
-1.135 -0.103 4.213 O
1.431 0.572 4.298 O
-3.856 -0.041 2.588 O
-2.511 -2.308 2.272 O
-5.078 -2.983 2.187 O
-0.314 -0.100 1.688 O
0.210 -2.370 3.897 O
-2.993 0.521 5.294 Na
-0.653 -2.932 1.191 Na
-2.277 0.765 1.325 Np
0.000 0.000 0.000 P

10.
LaCuH3 (PBE, optimized geometry); total DFT energy (no corrections) = -4.11 eV per atom; M_tot = 0.00 μB per cell; space-group type = No. 221
1.0
-1.697 1.719 -2.865
2.127 -1.922 -2.413
-2.576 -2.720 -0.105
La Cu H
1 1 3
Cartesian
-1.073 -1.462 -2.692 La
0.000 0.000 0.000 Cu
1.064 -0.961 -1.207 H
-1.288 -1.360 -0.052 H
-0.849 0.859 -1.433 H

11.
LaSiRh2 (PBE, optimized geometry); total DFT energy (no corrections) = -6.87 eV per atom; M_tot = 0.00 μB per cell; formation energy (no corrections) = -0.602 eV per atom; space-group type = No. 123
1.0
-0.686 -2.196 1.990
2.206 0.986 1.847
-4.819 4.528 3.336
Si Rh La
1 2 1
Cartesian
-0.445 0.527 2.752 Si
-0.307 0.289 0.213 Rh
-2.102 1.975 1.455 Rh
-2.854 2.791 4.420 La

12.
Na2UInCl8 (PBE, optimized geometry); total DFT energy (no corrections) = -4.14 eV per atom; M_tot = 1.75 μB per cell; formation energy (no corrections) = -1.524 eV per atom; space-group type = No. 10
1.0
-4.628 1.636 4.301
3.005 -3.990 4.068
4.999 6.664 2.843
In Cl Na U
1 8 2 1
Cartesian
2.499 3.332 1.422 In
-2.139 2.034 4.955 Cl
-0.545 -0.646 2.472 Cl
3.922 4.956 8.741 Cl
5.515 2.276 6.258 Cl
2.704 -1.472 4.658 Cl
1.403 1.669 7.246 Cl
0.673 5.782 6.554 Cl
1.974 2.641 3.967 Cl
2.890 3.758 6.290 Na
0.486 0.552 4.922 Na
0.000 0.000 0.000 U